Density functional theory data (meta-GGA SCAN) for a crystal of Ba3SrBi relaxed with PBEsol.

Summary:
The value obtained for the size of the total moment is 0.279 μB/atom. As for the formation energy: -0.3716 eV per atom. The total energy is -221.36 eV for the cell shown.

extended XYZ file:
```
5
Lattice="6.7719 0.0000 0.0000 0.0000 6.7719 0.0000 0.0000 0.0000 6.7719" Properties=species:S:1:pos:R:3 pbc="T T T"
Ba 0.0000 0.0000 3.3860
Ba 0.0000 3.3860 0.0000
Ba 3.3860 0.0000 0.0000
Sr 3.3860 3.3860 3.3860
Bi 0.0000 0.0000 0.0000
```